No. 1
A relaxed CeZrHg2 crystal, computed with PBE-GGA.

Lattice parameters (Å, degrees): 5.2170 5.2170 5.2170 60.00 60.00 60.00
With the nearest neighbours (Å) after each atom.
Positions (direct):
Ce 0.0000 0.0000 0.0000  8 Hg 3.19
Hg 0.2500 0.2500 0.2500  4 Zr 3.19, 4 Ce 3.19
Hg 0.7500 0.7500 0.7500  4 Zr 3.19, 4 Ce 3.19
Zr 0.5000 0.5000 0.5000  8 Hg 3.19

The electronic total energy is -3.92 eV/atom. As for the space-group type: Fm-3m (225). The formation energy comes out at -149 meV per atom. Its density of states at the Fermi level is 7.730 states/eV per cell.

---

No. 2
A relaxed SnGeO2 crystal, computed with PBE-GGA.

Lattice parameters (Å, degrees): 7.1345 7.1345 7.1345 25.52 25.52 25.52
With the nearest neighbours (Å) after each atom.
Positions (direct):
O 0.1180 0.1180 0.1180  3 Ge 2.08
O 0.8820 0.8820 0.8820  3 Ge 2.08
Sn 0.0000 0.0000 0.0000  2 O 2.44
Ge 0.5000 0.5000 0.5000  6 O 2.08

The electronic total energy is -5.57 eV/atom. As for the space-group type: R-3m (166). Its density of states at the Fermi level is 1.044 states/eV per cell.

---

No. 3
A relaxed PCl2 crystal, computed with PBE-GGA.

Lattice parameters (Å, degrees): 3.4820 6.7854 8.3519 90.00 90.00 90.00
With the nearest neighbours (Å) after each atom.
Positions (direct):
P 0.0000 0.0000 0.0000  4 Cl 2.38
P 0.5000 0.5000 0.5000  4 Cl 2.38
Cl 0.5000 0.2109 0.0917  2 P 2.38
Cl 0.0000 0.7109 0.4083  2 P 2.38
Cl 0.0000 0.2891 0.5917  2 P 2.38
Cl 0.5000 0.7891 0.9083  2 P 2.38

The electronic total energy is -3.07 eV/atom. As for the space-group type: Pnnm (58). Its density of states at the Fermi level is 2.086 states/eV per cell.

---

No. 4
A relaxed HgTe2Pt crystal, computed with PBE-GGA.

Lattice parameters (Å, degrees): 3.7132 3.7132 7.8347 90.00 90.00 90.00
With the nearest neighbours (Å) after each atom.
Positions (direct):
Te 0.5000 0.5000 0.3258  4 Hg 3.00
Te 0.0000 0.0000 0.8866  4 Pt 2.77, 1 Hg 2.94
Hg 0.0000 0.0000 0.5117  5 Te 2.94-3.00
Pt 0.5000 0.5000 0.7759  4 Te 2.77

The electronic total energy is -3.01 eV/atom. As for the space-group type: P4mm (99). Its density of states at the Fermi level is 1.315 states/eV per cell.

---

No. 5
A relaxed SrScPt2 crystal, computed with PBE-GGA.

Lattice parameters (Å, degrees): 4.9201 4.9201 4.9201 60.00 60.00 60.00
With the nearest neighbours (Å) after each atom.
Positions (direct):
Pt 0.7500 0.7500 0.7500  4 Sc 3.01, 4 Sr 3.01
Pt 0.2500 0.2500 0.2500  4 Sc 3.01, 4 Sr 3.01
Sr 0.5000 0.5000 0.5000  8 Pt 3.01
Sc 0.0000 0.0000 0.0000  8 Pt 3.01

The electronic total energy is -5.83 eV/atom. As for the space-group type: Fm-3m (225). The formation energy comes out at -805 meV per atom. Its density of states at the Fermi level is 2.216 states/eV per cell.

---

No. 6
A relaxed CaCr2Tc crystal, computed with PBE-GGA.

Lattice parameters (Å, degrees): 2.7288 2.7288 9.0054 90.00 90.00 109.88
With the nearest neighbours (Å) after each atom.
Positions (direct):
Ca 0.5000 0.5000 0.7500  4 Ca 2.73, 4 Cr 3.02
Tc 0.5000 0.5000 0.2500  4 Cr 2.48, 4 Tc 2.73
Cr 0.0000 0.0000 0.0362  2 Tc 2.48, 4 Cr 2.73
Cr 0.0000 0.0000 0.4638  2 Tc 2.48, 4 Cr 2.73

The electronic total energy is -7.17 eV/atom. As for the space-group type: Cmmm (65). The formation energy comes out at 731 meV per atom. Its density of states at the Fermi level is 4.863 states/eV per cell.

---

No. 7
A relaxed SrNpRu2 crystal, computed with PBE-GGA.

Lattice parameters (Å, degrees): 3.3430 3.3430 7.6174 90.00 90.00 90.00
With the nearest neighbours (Å) after each atom.
Positions (direct):
Np 0.5000 0.5000 0.0000  8 Ru 2.77
Sr 0.5000 0.5000 0.5000  4 Sr 3.34, 8 Ru 3.35
Ru 0.0000 0.0000 0.1888  4 Np 2.77, 1 Ru 2.88
Ru 0.0000 0.0000 0.8112  4 Np 2.77, 1 Ru 2.88

The electronic total energy is -8.22 eV/atom. As for the space-group type: P4/mmm (123). The formation energy comes out at 76 meV per atom. Its density of states at the Fermi level is 5.219 states/eV per cell.

---

No. 8
A relaxed NbGa2Au crystal, computed with PBE-GGA.

Lattice parameters (Å, degrees): 4.0968 4.0968 5.6251 68.64 68.64 60.00
With the nearest neighbours (Å) after each atom.
Positions (direct):
Au 0.6767 0.6767 0.9700  6 Ga 2.56-2.67
Ga 0.2620 0.2620 0.2140  3 Au 2.67, 3 Nb 2.88, 1 Ga 2.88
Ga 0.0736 0.0736 0.7793  3 Au 2.56, 3 Nb 2.67
Nb 0.4878 0.4878 0.5367  6 Ga 2.67-2.88, 1 Au 2.89

The electronic total energy is -4.84 eV/atom. As for the space-group type: R3m (160). The formation energy comes out at 15 meV per atom. Its density of states at the Fermi level is 2.681 states/eV per cell.